# PBE-GGA Pr3Cd2HgPdAu2, relaxed
# magnetic moment = 0.01 μB/cell
# E_form = -0.6623 eV/atom
data_Pr3Cd2HgPdAu2
_symmetry_space_group_name_H-M 'A m m 2'
_symmetry_Int_Tables_number 38
_cell_length_a 4.0130
_cell_length_b 13.7633
_cell_length_c 7.9719
_cell_angle_alpha 90.00
_cell_angle_beta 90.00
_cell_angle_gamma 90.00
loop_
_symmetry_equiv_pos_as_xyz
'x,y,z'
'-x,-y,z'
'-x,y,z'
'x,-y,z'
'x,y+1/2,z+1/2'
'-x,-y+1/2,z+1/2'
'-x,y+1/2,z+1/2'
'x,-y+1/2,z+1/2'
loop_
_atom_site_label
_atom_site_fract_x
_atom_site_fract_y
_atom_site_fract_z
Pr1 0.0000 0.0000 0.0000
Pr2 0.0000 0.1972 0.3939
Cd1 0.5000 0.1258 0.7233
Hg1 0.5000 0.0000 0.3392
Pd1 0.0000 0.0000 0.6000
Au1 0.5000 0.1698 0.0911


# PBE-GGA PmCdHgAu, relaxed
# magnetic moment = 0.01 μB/cell
# E_form = -0.5433 eV/atom
data_PmCdHgAu
_symmetry_space_group_name_H-M 'F -4 3 m'
_symmetry_Int_Tables_number 216
_symmetry_space_group_name_Hall 'F -4 2 3'
_cell_length_a 7.1829
_cell_length_b 7.1829
_cell_length_c 7.1829
_cell_angle_alpha 90.00
_cell_angle_beta 90.00
_cell_angle_gamma 90.00
loop_
_atom_site_label
_atom_site_fract_x
_atom_site_fract_y
_atom_site_fract_z
Pm1 0.0000 0.0000 0.0000
Cd1 0.0000 0.0000 0.5000
Hg1 0.2500 0.2500 0.2500
Au1 0.2500 0.2500 0.7500


# PBE-GGA Pr3Cd2HgPtAu2, relaxed
# magnetic moment = 0.01 μB/cell
# E_form = -0.6935 eV/atom
data_Pr3Cd2HgPtAu2
_symmetry_space_group_name_H-M 'A m m 2'
_symmetry_Int_Tables_number 38
_cell_length_a 4.0956
_cell_length_b 13.6320
_cell_length_c 7.9207
_cell_angle_alpha 90.00
_cell_angle_beta 90.00
_cell_angle_gamma 90.00
loop_
_symmetry_equiv_pos_as_xyz
'x,y,z'
'-x,-y,z'
'-x,y,z'
'x,-y,z'
'x,y+1/2,z+1/2'
'-x,-y+1/2,z+1/2'
'-x,y+1/2,z+1/2'
'x,-y+1/2,z+1/2'
loop_
_atom_site_label
_atom_site_fract_x
_atom_site_fract_y
_atom_site_fract_z
Pr1 0.0000 0.0000 0.0000
Pr2 0.0000 0.1950 0.3992
Cd1 0.5000 0.1252 0.7264
Hg1 0.5000 0.0000 0.3426
Pt1 0.0000 0.0000 0.6056
Au1 0.5000 0.1702 0.0944


# PBE-GGA Pr3CdHg2Pt2Au, relaxed
# magnetic moment = 0.01 μB/cell
# E_form = -0.7797 eV/atom
data_Pr3CdHg2Pt2Au
_symmetry_space_group_name_H-M 'A m m 2'
_symmetry_Int_Tables_number 38
_cell_length_a 3.9987
_cell_length_b 13.7595
_cell_length_c 7.8817
_cell_angle_alpha 90.00
_cell_angle_beta 90.00
_cell_angle_gamma 90.00
loop_
_symmetry_equiv_pos_as_xyz
'x,y,z'
'-x,-y,z'
'-x,y,z'
'x,-y,z'
'x,y+1/2,z+1/2'
'-x,-y+1/2,z+1/2'
'-x,y+1/2,z+1/2'
'x,-y+1/2,z+1/2'
loop_
_atom_site_label
_atom_site_fract_x
_atom_site_fract_y
_atom_site_fract_z
Pr1 0.0000 0.0000 0.0000
Pr2 0.0000 0.2057 0.6023
Cd1 0.5000 0.0000 0.6638
Hg1 0.5000 0.1329 0.2697
Pt1 0.5000 0.1633 0.8952
Au1 0.0000 0.0000 0.4086